GGA-PBE LaRuSe2, relaxed; formation energy from raw total energies = -844 meV/atom; V = 89 Å³/cell; symmetry = Cmmm (65)
1.0
4.041 0.000 0.000
0.000 4.756 -0.006
0.000 1.102 4.630
Se Ru La
2 1 1
direct
0.000 0.551 0.551
0.000 0.949 0.949
0.500 0.750 0.750
0.500 0.250 0.250

***

GGA-PBE PuCdP2, relaxed; energy of formation = -0.4567 eV per atom; V = 87 Å³/cell; symmetry = R3m (160)
1.0
-0.343 -1.961 -3.497
3.295 -1.296 -1.912
0.637 -6.468 1.249
Pu Cd P
1 1 2
direct
0.670 0.670 0.991
0.493 0.493 0.521
0.257 0.257 0.229
0.080 0.080 0.760

***

Number 1: relative energy among the computed polymorphs 84 meV/atom, D(E_F) 1.17 states/eV/f.u.. Number 2: relative energy among the computed polymorphs 0 meV/atom, D(E_F) 8.83 states/eV/f.u..